{
  "formula": "Li2MnCoO4",
  "functional": "PBE with a Hubbard U",
  "state": "optimized geometry",
  "vol_a3_per_atom": 9.3,
  "dft_energy_ev_per_cell": -97.59,
  "e_above_lowest_polymorph_mev_per_atom": 40,
  "cell": [[4.038, 4.053, 0.003], [-4.038, 4.053, 0.003], [0.000, 4.008, 4.531]],
  "species": ["Li", "Li", "Li", "Li", "Mn", "Mn", "Co", "Co", "O", "O", "O", "O", "O", "O", "O", "O"],
  "frac_coords": [[0.500, 0.500, 0.500], [0.000, 0.500, 0.000], [0.500, 0.000, 0.500], [0.500, 0.500, 0.000], [0.000, 0.500, 0.500], [0.500, 0.000, 0.000], [0.000, 0.000, 0.500], [0.000, 0.000, 0.000], [0.755, 0.770, 0.997], [0.227, 0.752, 0.504], [0.752, 0.227, 0.004], [0.770, 0.755, 0.497], [0.230, 0.245, 0.503], [0.248, 0.773, 0.996], [0.773, 0.248, 0.496], [0.245, 0.230, 0.003]]
}